# 1
VASP calculation (PBE) on a relaxed ErZn2Hg crystal.

The structure in extended XYZ format:
```
4
Lattice="0.000 3.386 3.386 3.386 0.000 3.386 3.386 3.386 0.000" Properties=species:S:1:pos:R:3 pbc="T T T"
Er 0.000 0.000 0.000
Zn 1.693 1.693 1.693
Zn 5.079 5.079 5.079
Hg 3.386 3.386 3.386
```

Results
- DOS at the Fermi energy: 3.219 states/eV per cell
- Magnetic moment: 0.000 μB per atom
- DFT formation energy: -233.6 meV per atom
- Space-group type: Fm-3m



# 2
VASP calculation (PBE) on a relaxed Zr2TeSe2 crystal.

The structure in extended XYZ format:
```
10
Lattice="3.404 -5.822 0.000 3.404 5.822 0.000 -2.478 0.000 6.272" Properties=species:S:1:pos:R:3 pbc="T T T"
Zr 0.308 0.978 3.131
Zr -0.931 -0.978 6.268
Zr 5.262 0.978 0.005
Zr 4.023 -0.978 3.141
Te 2.785 1.181 1.568
Te 1.546 -1.181 4.704
Se 2.785 4.717 1.568
Se 1.546 2.854 4.704
Se 2.785 -2.854 1.568
Se 1.546 -4.717 4.704
```

Results
- DOS at the Fermi energy: 5.990 states/eV per cell
- Magnetic moment: 0.000 μB per atom
- Space-group type: C2/c
- Formation energy from raw total energies: -1.141 eV per atom



# 3
VASP calculation (PBE) on a relaxed TcBiRh crystal.

The structure in extended XYZ format:
```
3
Lattice="0.000 3.152 3.152 3.152 0.000 3.152 3.152 3.152 0.000" Properties=species:S:1:pos:R:3 pbc="T T T"
Tc 0.000 0.000 0.000
Bi 3.152 3.152 3.152
Rh 1.576 1.576 1.576
```

Results
- DOS at the Fermi energy: 0.751 states/eV per cell
- Magnetic moment: 0.994 μB per atom
- DFT formation energy: 436.1 meV per atom
- Space-group type: F-43m



Polymorph energy (0 for the lowest one) (meV/atom)
49 0 61